Below is an optimized crystal structure of Y2BeZn, with properties calculated at the GGA-PBE level.

Results
Fermi-level density of states in states/eV/f.u.: 4.46
Electronic total energy in eV/cell: -18.14
Energy above the most stable polymorph in this dataset in kJ/mol of atoms: 8.31
Spin magnetization in μB/cell: 0.01

Cell: 5.9084 5.9084 4.7829 Å, 66.15 66.15 33.93°
Element x y z (fractional)
Be1 0.2107 0.2107 0.2889
Y1 0.7611 0.7611 0.7389
Y2 0.9780 0.9780 0.0220
Zn1 0.5501 0.5501 0.4502

***

Below is an optimized crystal structure of YBeZn11, with properties calculated at the GGA-PBE level.

Results
Fermi-level density of states in states/eV/f.u.: 1.64
Electronic total energy in eV/cell: -26.29
Spin magnetization in μB/cell: 0.00

Cell: 5.1955 6.6599 6.6885 Å, 81.52 67.15 67.70°
Element x y z (fractional)
Zn1 0.4939 0.7769 0.2135
Zn2 0.5061 0.2231 0.7865
Zn3 0.5000 0.0000 0.5000
Zn4 0.9835 0.3573 0.6535
Zn5 0.0165 0.6427 0.3465
Zn6 0.0000 0.5000 0.0000
Zn7 0.3630 0.6427 0.6535
Zn8 0.6370 0.3573 0.3465
Zn9 0.7074 0.7769 0.7865
Zn10 0.2926 0.2231 0.2135
Zn11 0.0000 0.0000 0.5000
Be1 0.5000 0.5000 0.0000
Y1 0.0000 0.0000 0.0000

***

Below is an optimized crystal structure of Y3BeZn, with properties calculated at the GGA-PBE level.

Results
Fermi-level density of states in states/eV/f.u.: 7.85
Electronic total energy in eV/cell: -22.93
Energy above the most stable polymorph in this dataset in kJ/mol of atoms: 0.00
Spin magnetization in μB/cell: 2.09

Cell: 5.1874 5.1874 5.1874 Å, 90.00 90.00 90.00°
Last column: magnetic moment on the atom in μB.
Element x y z (fractional)
Y1 0.5000 0.0000 0.0000  0.29
Y2 0.0000 0.0000 0.5000  0.18
Y3 0.0000 0.5000 0.0000  0.24
Zn1 0.5000 0.5000 0.5000  0.09
Be1 0.0000 0.0000 0.0000  0.05

***

Below is an optimized crystal structure of YBeZn4, with properties calculated at the GGA-PBE level.

Results
Fermi-level density of states in states/eV/f.u.: 3.27
Electronic total energy in eV/cell: -15.00
Spin magnetization in μB/cell: 0.00

Cell: 5.2240 5.2240 5.2240 Å, 60.00 60.00 60.00°
Element x y z (fractional)
Zn1 0.1258 0.6247 0.6247
Zn2 0.6247 0.6247 0.1258
Zn3 0.6247 0.6247 0.6247
Zn4 0.6247 0.1258 0.6247
Y1 0.0000 0.0000 0.0000
Be1 0.2500 0.2500 0.2500

***

Below is an optimized crystal structure of YBeZn, with properties calculated at the GGA-PBE level.

Results
Fermi-level density of states in states/eV/f.u.: 4.07
Electronic total energy in eV/cell: -10.90
Energy above the most stable polymorph in this dataset in kJ/mol of atoms: 36.71
Spin magnetization in μB/cell: 0.00

Cell: 4.4339 4.4339 4.4339 Å, 60.00 60.00 60.00°
Element x y z (fractional)
Be1 0.0000 0.0000 0.0000
Zn1 0.2500 0.2500 0.2500
Y1 0.5000 0.5000 0.5000

***

Below is an optimized crystal structure of YBeZn, with properties calculated at the GGA-PBE level.

Results
Fermi-level density of states in states/eV/f.u.: 2.97
Electronic total energy in eV/cell: -11.97
Energy above the most stable polymorph in this dataset in kJ/mol of atoms: 2.27
Spin magnetization in μB/cell: 0.00

Cell: 4.2270 4.2270 3.5838 Å, 90.00 90.00 120.00°
Element x y z (fractional)
Be1 0.0000 0.0000 0.8333
Y1 0.3333 0.6667 0.3333
Zn1 0.6667 0.3333 0.8333

***

Below is an optimized crystal structure of YBeZn3, with properties calculated at the GGA-PBE level.

Results
Fermi-level density of states in states/eV/f.u.: 1.30
Electronic total energy in eV/cell: -14.45
Energy above the most stable polymorph in this dataset in kJ/mol of atoms: 0.00
Spin magnetization in μB/cell: 0.00

Cell: 4.3913 4.3913 4.3913 Å, 90.00 90.00 90.00°
Element x y z (fractional)
Y1 0.5000 0.5000 0.5000
Zn1 0.5000 0.0000 0.0000
Zn2 0.0000 0.5000 0.0000
Zn3 0.0000 0.0000 0.5000
Be1 0.0000 0.0000 0.0000

***

Below is an optimized crystal structure of Y2BeZn, with properties calculated at the GGA-PBE level.

Results
Fermi-level density of states in states/eV/f.u.: 5.56
Electronic total energy in eV/cell: -17.44
Energy above the most stable polymorph in this dataset in kJ/mol of atoms: 25.12
Spin magnetization in μB/cell: 0.00

Cell: 8.4758 8.4758 8.4758 Å, 25.09 25.09 25.09°
Element x y z (fractional)
Y1 0.0056 0.0056 0.0056
Y2 0.4944 0.4944 0.4944
Zn1 0.2500 0.2500 0.2500
Be1 0.7500 0.7500 0.7500

***

Below is an optimized crystal structure of Y2BeZn, with properties calculated at the GGA-PBE level.

Results
Fermi-level density of states in states/eV/f.u.: 4.19
Electronic total energy in eV/cell: -18.48
Energy above the most stable polymorph in this dataset in kJ/mol of atoms: 0.00
Spin magnetization in μB/cell: 0.00

Cell: 3.4723 3.4697 7.9115 Å, 63.90 90.00 90.00°
Element x y z (fractional)
Zn1 0.5000 0.2500 0.2500
Y1 0.0000 0.0152 0.9845
Y2 0.0000 0.4848 0.5155
Be1 0.5000 0.7500 0.7500

***

Below is an optimized crystal structure of YBeZn, with properties calculated at the GGA-PBE level.

Results
Fermi-level density of states in states/eV/f.u.: 2.11
Electronic total energy in eV/cell: -10.81
Energy above the most stable polymorph in this dataset in kJ/mol of atoms: 39.36
Spin magnetization in μB/cell: 0.00

Cell: 4.8684 4.8684 4.8684 Å, 141.71 126.23 67.92°
Element x y z (fractional)
Zn1 0.3192 0.3192 0.0000
Y1 0.6654 0.6654 0.0000
Be1 0.0154 0.0154 0.0000

***

Below is an optimized crystal structure of Y2BeZn, with properties calculated at the GGA-PBE level.

Results
Fermi-level density of states in states/eV/f.u.: 5.29
Electronic total energy in eV/cell: -17.56
Energy above the most stable polymorph in this dataset in kJ/mol of atoms: 22.17
Spin magnetization in μB/cell: 0.00

Cell: 3.2504 3.2504 8.1345 Å, 90.00 90.00 90.00°
Element x y z (fractional)
Y1 0.0000 0.0000 0.9439
Y2 0.5000 0.5000 0.2964
Be1 0.5000 0.5000 0.7008
Zn1 0.0000 0.0000 0.5589

***

Below is an optimized crystal structure of Y2BeZn, with properties calculated at the GGA-PBE level.

Results
Fermi-level density of states in states/eV/f.u.: 5.79
Electronic total energy in eV/cell: -18.41
Energy above the most stable polymorph in this dataset in kJ/mol of atoms: 1.63
Spin magnetization in μB/cell: 0.00

Cell: 4.9609 4.9609 4.9609 Å, 60.00 60.00 60.00°
Element x y z (fractional)
Be1 0.0000 0.0000 0.0000
Y1 0.7500 0.7500 0.7500
Y2 0.2500 0.2500 0.2500
Zn1 0.5000 0.5000 0.5000

***

Below is an optimized crystal structure of Y2BeZn, with properties calculated at the GGA-PBE level.

Results
Fermi-level density of states in states/eV/f.u.: 5.12
Electronic total energy in eV/cell: -17.41
Energy above the most stable polymorph in this dataset in kJ/mol of atoms: 25.77
Spin magnetization in μB/cell: 0.00

Cell: 4.5893 4.5893 6.4363 Å, 76.92 76.92 47.34°
Element x y z (fractional)
Y1 0.5059 0.5059 0.4823
Y2 0.9941 0.9941 0.0177
Be1 0.2500 0.2500 0.2500
Zn1 0.7500 0.7500 0.7500

***

Below is an optimized crystal structure of Y2BeZn, with properties calculated at the GGA-PBE level.

Results
Fermi-level density of states in states/eV/f.u.: 5.05
Electronic total energy in eV/cell: -18.33
Energy above the most stable polymorph in this dataset in kJ/mol of atoms: 3.58
Spin magnetization in μB/cell: 0.00

Cell: 4.2769 3.7027 5.8576 Å, 72.78 90.00 90.00°
Element x y z (fractional)
Y1 0.5000 0.2716 0.3261
Y2 0.0000 0.9798 0.9212
Zn1 0.0000 0.6841 0.5030
Be1 0.5000 0.5644 0.7497

***

Below is an optimized crystal structure of Y2ZrBe, with properties calculated at the GGA-PBE level.

Results
Fermi-level density of states in states/eV/f.u.: 5.53
Electronic total energy in eV/cell: -23.87
Spin magnetization in μB/cell: 0.00

Cell: 7.7258 5.3141 3.4464 Å, 89.96 63.57 125.63°
Element x y z (fractional)
Y1 0.0000 0.0000 0.0000
Y2 0.5000 0.0000 0.5000
Zr1 0.0000 0.5000 0.5000
Be1 0.5000 0.5000 0.0000

***

Below is an optimized crystal structure of YZr2Be, with properties calculated at the GGA-PBE level.

Results
Fermi-level density of states in states/eV/f.u.: 3.02
Electronic total energy in eV/cell: -26.68
Spin magnetization in μB/cell: 0.00

Cell: 6.0349 6.0349 6.0349 Å, 147.51 132.68 58.57°
Element x y z (fractional)
Zr1 0.7028 0.2028 0.5000
Zr2 0.9977 0.9977 0.0000
Y1 0.2902 0.7902 0.5000
Be1 0.5092 0.5092 0.0000

***

Below is an optimized crystal structure of Y2ZrBe, with properties calculated at the GGA-PBE level.

Results
Fermi-level density of states in states/eV/f.u.: 4.71
Electronic total energy in eV/cell: -24.76
Spin magnetization in μB/cell: 0.00

Cell: 3.3904 3.3813 8.9030 Å, 67.72 90.00 90.00°
Element x y z (fractional)
Y1 0.0000 0.4619 0.5386
Y2 0.0000 0.0381 0.9614
Be1 0.5000 0.7500 0.7500
Zr1 0.5000 0.2500 0.2500

***

Below is an optimized crystal structure of Y2ZrBe2, with properties calculated at the GGA-PBE level.

Results
Fermi-level density of states in states/eV/f.u.: 6.97
Electronic total energy in eV/cell: -55.97
Spin magnetization in μB/cell: 0.00

Cell: 7.7466 7.7466 3.5353 Å, 90.00 90.00 90.00°
Element x y z (fractional)
Zr1 0.5000 0.5000 0.0000
Zr2 0.0000 0.0000 0.0000
Be1 0.6430 0.1430 0.0000
Be2 0.8570 0.6430 0.0000
Be3 0.3570 0.8570 0.0000
Be4 0.1430 0.3570 0.0000
Y1 0.3414 0.1586 0.5000
Y2 0.8414 0.3414 0.5000
Y3 0.1586 0.6586 0.5000
Y4 0.6586 0.8414 0.5000

***

Below is an optimized crystal structure of Y2ZrBe, with properties calculated at the GGA-PBE level.

Results
Fermi-level density of states in states/eV/f.u.: 4.92
Electronic total energy in eV/cell: -24.07
Spin magnetization in μB/cell: 0.00

Cell: 4.5729 4.5736 4.4698 Å, 90.00 90.00 90.00°
Element x y z (fractional)
Be1 0.0000 0.5000 0.5000
Y1 0.5000 0.5000 0.0000
Y2 0.0000 0.0000 0.0000
Zr1 0.5000 0.0000 0.5000

***

Below is an optimized crystal structure of YZr2Be, with properties calculated at the GGA-PBE level.

Results
Fermi-level density of states in states/eV/f.u.: 6.44
Electronic total energy in eV/cell: -26.07
Spin magnetization in μB/cell: 0.00

Cell: 3.5343 4.7452 5.1898 Å, 90.00 90.00 90.00°
Element x y z (fractional)
Be1 0.5000 0.0000 0.5000
Zr1 0.0000 0.0000 0.0000
Zr2 0.5000 0.5000 0.0000
Y1 0.0000 0.5000 0.5000

***

Below is an optimized crystal structure of YZr2Be, with properties calculated at the GGA-PBE level.

Results
Fermi-level density of states in states/eV/f.u.: 2.83
Electronic total energy in eV/cell: -27.14
Spin magnetization in μB/cell: 0.00

Cell: 6.0511 6.0511 4.9658 Å, 65.77 65.77 31.87°
Element x y z (fractional)
Y1 0.7500 0.7500 0.7500
Zr1 0.9575 0.9575 0.0426
Zr2 0.5425 0.5425 0.4574
Be1 0.2500 0.2500 0.2500

***

Below is an optimized crystal structure of Y2ZrBe, with properties calculated at the GGA-PBE level.

Results
Fermi-level density of states in states/eV/f.u.: 5.88
Electronic total energy in eV/cell: -24.34
Spin magnetization in μB/cell: 0.00

Cell: 4.6494 3.5289 6.2405 Å, 73.58 90.00 90.00°
Element x y z (fractional)
Y1 0.0000 0.9682 0.9396
Y2 0.5000 0.2822 0.3112
Be1 0.5000 0.5661 0.7413
Zr1 0.0000 0.6835 0.5079

***

Below is an optimized crystal structure of YZr2Be, with properties calculated at the GGA-PBE level.

Results
Fermi-level density of states in states/eV/f.u.: 5.31
Electronic total energy in eV/cell: -25.84
Spin magnetization in μB/cell: 0.00

Cell: 6.0526 6.0526 3.2144 Å, 76.24 76.24 121.48°
Element x y z (fractional)
Zr1 0.0000 0.0000 0.0000
Zr2 0.5000 0.5000 0.0000
Y1 0.0000 0.5000 0.5000
Be1 0.5000 0.0000 0.5000

***

Below is an optimized crystal structure of YZr2Be, with properties calculated at the GGA-PBE level.

Results
Fermi-level density of states in states/eV/f.u.: 3.58
Electronic total energy in eV/cell: -27.08
Spin magnetization in μB/cell: 0.00

Cell: 3.2782 3.2782 8.0768 Å, 90.00 90.00 90.00°
Element x y z (fractional)
Zr1 0.5000 0.5000 0.2931
Zr2 0.0000 0.0000 0.0286
Be1 0.0000 0.0000 0.4747
Y1 0.5000 0.5000 0.7036

***

Below is an optimized crystal structure of YZr2Be, with properties calculated at the GGA-PBE level.

Results
Fermi-level density of states in states/eV/f.u.: 4.90
Electronic total energy in eV/cell: -26.39
Spin magnetization in μB/cell: 0.00

Cell: 5.4218 5.4218 5.4218 Å, 132.39 132.39 69.61°
Element x y z (fractional)
Y1 0.7500 0.2500 0.5000
Zr1 0.2500 0.7500 0.5000
Zr2 0.0000 0.0000 0.0000
Be1 0.5000 0.5000 0.0000

***

Below is an optimized crystal structure of YZr4Be, with properties calculated at the GGA-PBE level.

Results
Fermi-level density of states in states/eV/f.u.: 9.29
Electronic total energy in eV/cell: -41.27
Spin magnetization in μB/cell: 0.00

Cell: 5.8771 5.8771 5.8771 Å, 60.00 60.00 60.00°
Element x y z (fractional)
Zr1 0.3731 0.8808 0.3731
Zr2 0.8808 0.3731 0.3731
Zr3 0.3731 0.3731 0.3731
Zr4 0.3731 0.3731 0.8808
Y1 0.0000 0.0000 0.0000
Be1 0.7500 0.7500 0.7500

***

Below is an optimized crystal structure of Y2ZrBe, with properties calculated at the GGA-PBE level.

Results
Fermi-level density of states in states/eV/f.u.: 5.26
Electronic total energy in eV/cell: -23.51
Spin magnetization in μB/cell: 1.22

Cell: 5.0920 5.0920 5.0920 Å, 60.00 60.00 60.00°
Last column: magnetic moment on the atom in μB.
Element x y z (fractional)
Zr1 0.2500 0.2500 0.2500  0.43
Y1 0.7500 0.7500 0.7500  0.12
Y2 0.0000 0.0000 0.0000  0.26
Be1 0.5000 0.5000 0.5000  -0.01

***

Below is an optimized crystal structure of Y2Zr2Be, with properties calculated at the GGA-PBE level.

Results
Fermi-level density of states in states/eV/f.u.: 4.06
Electronic total energy in eV/cell: -64.71
Spin magnetization in μB/cell: 0.00

Cell: 6.9826 6.9826 5.0074 Å, 90.00 90.00 90.00°
Element x y z (fractional)
Be1 0.5000 0.5000 0.0000
Be2 0.0000 0.0000 0.0000
Y1 0.8333 0.3333 0.5000
Y2 0.3333 0.1667 0.5000
Y3 0.6667 0.8333 0.5000
Y4 0.1667 0.6667 0.5000
Zr1 0.3554 0.8554 0.0000
Zr2 0.8554 0.6446 0.0000
Zr3 0.6446 0.1446 0.0000
Zr4 0.1446 0.3554 0.0000

***

Below is an optimized crystal structure of Y2ZrBe, with properties calculated at the GGA-PBE level.

Results
Fermi-level density of states in states/eV/f.u.: 5.34
Electronic total energy in eV/cell: -23.98
Spin magnetization in μB/cell: 0.00

Cell: 5.6725 5.6725 5.6725 Å, 133.86 133.86 67.30°
Element x y z (fractional)
Y1 0.0000 0.0000 0.0000
Y2 0.2500 0.7500 0.5000
Be1 0.7500 0.2500 0.5000
Zr1 0.5000 0.5000 0.0000

***

Short version: ΔE_f = -52 -161 293 48 189 -168 -88 122 -138 217 92 -121 129 -101 333 152 110 189 283 304 38 215 361 53 225 518 423 279 305 meV per atom, in the order given.